Entry 1:
VASP calculation (GGA-PBE) on a relaxed structure of FeMo2S2.

Cell and atoms, written as POSCAR:
```
FeMo2S2
1.0
-4.114 0.064 1.321
0.328 -4.132 1.223
1.315 1.299 4.034
S Mo Fe
2 2 1
direct
0.500 0.000 0.000
0.000 0.500 0.000
0.500 0.500 0.500
0.000 0.000 0.500
0.000 0.000 0.000
```

Uncorrected formation energy   1.059 eV/atom

Entry 2:
VASP calculation (GGA-PBE) on a relaxed structure of NdZnGa3.

Cell and atoms, written as POSCAR:
```
NdZnGa3
1.0
4.064 0.003 1.406
-0.481 4.033 1.409
0.159 0.174 6.134
Ga Zn Nd
3 1 1
direct
0.648 0.954 0.407
0.790 0.594 0.125
0.150 0.452 0.407
0.018 0.822 0.668
0.401 0.204 0.904
```

Energy of formation from the pure elements   -0.4687 eV/atom

Entry 3:
VASP calculation (GGA-PBE) on a relaxed structure of ZrFePt3.

Cell and atoms, written as POSCAR:
```
ZrFePt3
1.0
4.588 0.000 0.000
0.000 4.588 0.000
0.000 0.000 4.588
Pt Zr Fe
3 1 1
direct
0.500 0.000 0.000
0.000 0.500 0.000
0.000 0.000 0.500
0.500 0.500 0.500
0.000 0.000 0.000
```

Offset from the most stable computed form   0 meV/atom
Energy of formation from the pure elements   0.3064 eV/atom

Entry 4:
VASP calculation (GGA-PBE) on a relaxed structure of Ba2TlCd2Pd5.

Cell and atoms, written as POSCAR:
```
Ba2TlCd2Pd5
1.0
3.709 0.000 0.000
0.000 11.086 0.000
0.000 0.000 11.086
Tl Cd Pd Ba
2 4 10 4
direct
0.000 0.500 0.500
0.000 0.000 0.000
0.000 0.628 0.872
0.000 0.872 0.372
0.000 0.128 0.628
0.000 0.372 0.128
0.500 0.806 0.944
0.500 0.000 0.500
0.500 0.944 0.194
0.500 0.694 0.444
0.500 0.056 0.806
0.500 0.306 0.556
0.500 0.194 0.056
0.500 0.556 0.694
0.500 0.444 0.306
0.500 0.500 0.000
0.000 0.673 0.173
0.000 0.327 0.827
0.000 0.827 0.673
0.000 0.173 0.327
```

Energy of formation from the pure elements   -0.3414 eV/atom

Entry 5:
VASP calculation (GGA-PBE) on a relaxed structure of Y2Al2Sn.

Cell and atoms, written as POSCAR:
```
Y2Al2Sn
1.0
-7.252 -0.055 -0.545
0.011 -7.249 0.583
-0.339 0.359 4.476
Al Y Sn
4 4 2
direct
0.875 0.625 0.000
0.375 0.875 0.000
0.625 0.125 0.000
0.125 0.375 0.000
0.328 0.172 0.500
0.672 0.828 0.500
0.172 0.672 0.500
0.828 0.328 0.500
0.500 0.500 0.000
0.000 0.000 0.000
```

Energy of formation from the pure elements   -0.5339 eV/atom

Entry 6:
VASP calculation (GGA-PBE) on a relaxed structure of AgHgRu.

Cell and atoms, written as POSCAR:
```
AgHgRu
1.0
6.643 0.018 -0.014
6.003 2.810 0.452
0.640 -0.321 2.812
Hg Ru Ag
1 1 1
direct
0.672 0.672 0.328
0.335 0.335 0.665
0.993 0.993 0.007
```

Offset from the most stable computed form   7 meV/atom
Energy of formation from the pure elements   0.5120 eV/atom

Entry 7:
VASP calculation (GGA-PBE) on a relaxed structure of MgAlAu2.

Cell and atoms, written as POSCAR:
```
MgAlAu2
1.0
4.597 0.000 0.000
2.298 3.981 0.000
2.298 1.327 3.753
Al Au Mg
1 2 1
direct
0.250 0.250 0.250
0.000 0.000 0.000
0.500 0.500 0.500
0.750 0.750 0.750
```

Energy of formation from the pure elements   -0.4885 eV/atom

Entry 8:
VASP calculation (GGA-PBE) on a relaxed structure of AcLuCdGa.

Cell and atoms, written as POSCAR:
```
AcLuCdGa
1.0
-0.093 -1.697 5.130
-3.344 -3.983 1.469
1.985 -4.862 1.274
Ac Ga Lu Cd
1 1 1 1
direct
0.000 0.000 0.000
0.250 0.250 0.250
0.500 0.500 0.500
0.750 0.750 0.750
```

Energy of formation from the pure elements   -0.3366 eV/atom

Entry 9:
VASP calculation (GGA-PBE) on a relaxed structure of SrCoSi2.

Cell and atoms, written as POSCAR:
```
SrCoSi2
1.0
-1.885 -2.085 -1.453
0.664 -2.150 2.224
-5.433 2.260 3.806
Si Co Sr
2 1 1
direct
0.000 0.000 0.968
0.500 0.500 0.178
0.500 0.500 0.850
0.000 0.000 0.504
```

Uncorrected formation energy   -0.028 eV/atom

Entry 10:
VASP calculation (GGA-PBE) on a relaxed structure of U4PtRh12.

Cell and atoms, written as POSCAR:
```
U4PtRh12
1.0
6.791 0.000 -2.401
-3.396 5.882 -2.401
0.000 0.000 7.203
Pt Rh U
1 12 4
direct
0.000 0.000 0.000
0.500 0.750 0.250
0.250 0.750 0.500
0.699 0.000 0.699
0.750 0.500 0.250
0.301 0.301 0.000
0.250 0.500 0.750
0.699 0.699 0.000
0.000 0.301 0.301
0.000 0.699 0.699
0.500 0.250 0.750
0.301 0.000 0.301
0.750 0.250 0.500
0.500 0.000 0.000
0.000 0.000 0.500
0.000 0.500 0.000
0.500 0.500 0.500
```

Energy of formation from the pure elements   -0.4073 eV/atom

Entry 11:
VASP calculation (GGA-PBE) on a relaxed structure of CaLaMgIn.

Cell and atoms, written as POSCAR:
```
CaLaMgIn
1.0
-3.596 -2.197 -3.598
-2.083 -5.055 0.901
-5.325 -0.591 1.416
La In Mg Ca
1 1 1 1
direct
0.750 0.750 0.750
0.500 0.500 0.500
0.000 0.000 0.000
0.250 0.250 0.250
```

Energy of formation from the pure elements   -0.3478 eV/atom

Entry 12:
VASP calculation (GGA-PBE) on a relaxed structure of Rb2Li2ReO6.

Cell and atoms, written as POSCAR:
```
Rb2Li2ReO6
1.0
-0.278 0.729 5.365
4.401 -3.130 -0.478
1.646 6.510 -2.983
O Rb Li Re
6 2 2 1
direct
0.719 0.041 0.299
0.959 0.281 0.701
0.265 0.265 0.469
0.041 0.719 0.299
0.735 0.735 0.531
0.281 0.959 0.701
0.787 0.213 0.000
0.213 0.787 0.000
0.340 0.660 0.500
0.660 0.340 0.500
0.000 0.000 0.500
```

Uncorrected formation energy   -1.584 eV/atom

Please write out number 12 again, unchanged.
VASP calculation (GGA-PBE) on a relaxed structure of Rb2Li2ReO6.

Cell and atoms, written as POSCAR:
```
Rb2Li2ReO6
1.0
-0.278 0.729 5.365
4.401 -3.130 -0.478
1.646 6.510 -2.983
O Rb Li Re
6 2 2 1
direct
0.719 0.041 0.299
0.959 0.281 0.701
0.265 0.265 0.469
0.041 0.719 0.299
0.735 0.735 0.531
0.281 0.959 0.701
0.787 0.213 0.000
0.213 0.787 0.000
0.340 0.660 0.500
0.660 0.340 0.500
0.000 0.000 0.500
```

Uncorrected formation energy   -1.584 eV/atom